[1]
Here is crystalline CaTiCu2Ir at its relaxed geometry from Alexandria. Energies are from PBE-GGA.

abc: 4.7742 5.0404 4.7742
angles: 90.00 90.00 90.00
Closest atoms and distances in Å follow each position.
Fractional coordinates of all 5 atoms:
Cu: 0.0000 0.0000 0.5000  2 Ir 2.39
Ti: 0.5000 0.5000 0.5000  4 Ca 3.38, 8 Cu 3.47
Cu: 0.5000 0.0000 0.0000  2 Ir 2.39
Ir: 0.0000 0.0000 0.0000  4 Cu 2.39, 2 Ca 2.52
Ca: 0.0000 0.5000 0.0000  2 Ir 2.52

formation energy = 861 meV/atom
symmetry = No. 123
ρ = 5.89 g cm⁻³
crystal system = tetragonal
E_tot = -4.53 eV/atom
total magnetization = 0.4731 μB/atom

[2]
Here is crystalline BaSc3O at its relaxed geometry from Alexandria. Energies are from PBE-GGA.

abc: 5.2752 5.2752 5.2752
angles: 90.00 90.00 90.00
Closest atoms and distances in Å follow each position.
Fractional coordinates of all 5 atoms:
Ba: 0.0000 0.0000 0.0000  6 Sc 2.64
Sc: 0.0000 0.0000 0.5000  2 Ba 2.64
O: 0.5000 0.5000 0.5000  12 Sc 3.73
Sc: 0.0000 0.5000 0.0000  2 Ba 2.64
Sc: 0.5000 0.0000 0.0000  2 Ba 2.64

symmetry = No. 221
ρ = 3.26 g cm⁻³
formation energy (no corrections) = 1638 meV per atom
crystal system = cubic
E_tot = -3.54 eV/atom
total magnetization = 0.0000 μB/atom
energy above the most stable polymorph in this dataset = 2285 meV/atom

[3]
Here is crystalline TlAgTeSe2 at its relaxed geometry from Alexandria. Energies are from PBE-GGA.

abc: 6.0690 6.4122 7.7713
angles: 114.37 90.00 90.00
Closest atoms and distances in Å follow each position.
Fractional coordinates of all 10 atoms:
Se: 0.7528 0.6582 0.3164  1 Se 2.60, 1 Ag 2.70
Tl: 0.7499 0.2500 0.5000  8 Se 3.29-3.46
Ag: 0.0000 0.0000 0.0000  2 Se 2.70
Se: 0.7528 0.8418 0.6836  1 Se 2.60, 1 Ag 2.70
Te: 0.5000 0.7500 0.0000  4 Se 3.15, 2 Te 3.21, 4 Ag 3.43
Te: 0.5000 0.2500 0.0000  4 Se 3.15, 2 Te 3.21, 4 Ag 3.43
Se: 0.2472 0.1582 0.3164  1 Se 2.60, 1 Ag 2.70
Tl: 0.2501 0.7500 0.5000  8 Se 3.29-3.46
Se: 0.2472 0.3418 0.6836  1 Se 2.60, 1 Ag 2.70
Ag: 0.0000 0.5000 0.0000  2 Se 2.70

symmetry = No. 67
ρ = 7.21 g cm⁻³
formation energy (no corrections) = 57 meV per atom
crystal system = orthorhombic
E_tot = -3.01 eV/atom
total magnetization = 0.0000 μB/atom

[4]
Here is crystalline La2Er3Cd3 at its relaxed geometry from Alexandria. Energies are from PBE-GGA.

abc: 3.8060 5.2855 11.8270
angles: 102.91 99.26 90.00
Closest atoms and distances in Å follow each position.
Fractional coordinates of all 8 atoms:
Er: 0.3825 0.3825 0.7650  6 Cd 3.26-3.28
Er: 0.5000 0.0000 0.0000  8 Cd 3.14-3.26
Cd: 0.1101 0.1101 0.2202  6 Er 3.14-3.26, 2 La 3.33
La: 0.2699 0.7699 0.5399  2 Cd 3.33, 4 La 3.38, 2 Er 3.68
La: 0.7301 0.2301 0.4601  2 Cd 3.33, 4 La 3.38, 2 Er 3.68
Er: 0.6175 0.6175 0.2350  6 Cd 3.26-3.28
Cd: 0.0000 0.5000 0.0000  8 Er 3.26-3.28, 4 Cd 3.64
Cd: 0.8899 0.8899 0.7798  6 Er 3.14-3.26, 2 La 3.33

formation energy = -207 meV/atom
symmetry = No. 71
ρ = 8.11 g cm⁻³
crystal system = orthorhombic
E_tot = -3.49 eV/atom
total magnetization = 0.0005 μB/atom

[5]
Here is crystalline KSi2Pt at its relaxed geometry from Alexandria. Energies are from PBE-GGA.

abc: 4.1165 4.1165 6.8269
angles: 72.53 72.53 60.09
Closest atoms and distances in Å follow each position.
Fractional coordinates of all 4 atoms:
K: 0.5044 0.5044 0.4861  6 Si 3.39-3.50, 1 Pt 3.40
Si: 0.7044 0.7044 0.8876  3 Pt 2.52, 3 Si 2.76-2.77
Pt: 0.3277 0.3277 0.0171  6 Si 2.45-2.52
Si: 0.9635 0.9635 0.1093  3 Pt 2.45

symmetry = No. 8
ρ = 5.13 g cm⁻³
formation energy (no corrections) = -337 meV per atom
crystal system = monoclinic
E_tot = -4.83 eV/atom
total magnetization = 0.0000 μB/atom

[6]
Here is crystalline KPbOF at its relaxed geometry from Alexandria. Energies are from PBE-GGA.

abc: 3.8441 3.8439 5.8645
angles: 89.77 90.00 90.00
Closest atoms and distances in Å follow each position.
Fractional coordinates of all 4 atoms:
O: 0.5000 0.3938 0.1899  1 Pb 2.04
F: 0.0000 0.8875 0.5703  4 Pb 2.72-2.73, 2 K 2.92-2.94
Pb: 0.5000 0.3906 0.5374  1 O 2.04
K: 0.0000 0.8941 0.0721  4 O 2.80-2.81, 2 F 2.92-2.94

symmetry = No. 6
ρ = 5.39 g cm⁻³
formation energy (no corrections) = -1670 meV per atom
crystal system = monoclinic
E_tot = -4.58 eV/atom
total magnetization = 0.0000 μB/atom